Compound: CaWSe2
Source: the Alexandria database
Functional: GGA-PBE
Structure: relaxed

Cell lengths 7.0307, 7.0307, 7.0307 Å; angles 90.00, 90.00, 90.00 degrees
Last column: nearest neighbours and their distance in Å.
Space group F-43m (No. 216)
Unique sites:
Ca  0.0000  0.0000  0.0000  4 Se 3.04, 4 W 3.04
W  0.2500  0.2500  0.2500  4 Se 3.04, 4 Ca 3.04
Se  0.0000  0.0000  0.5000  4 Se 3.04, 4 W 3.04
Se  0.2500  0.2500  0.7500  4 Se 3.04, 4 Ca 3.04

Properties
Size of the total moment ... 14.2 μB/cell



Compound: CaWSe2
Source: the Alexandria database
Functional: GGA-PBE
Structure: relaxed

Cell lengths 4.8075, 4.8075, 3.2886 Å; angles 90.00, 90.00, 90.00 degrees
Last column: nearest neighbours and their distance in Å.
Space group P4/mmm (No. 123)
Unique sites:
Ca  0.0000  0.0000  0.0000  8 Se 2.91
W  0.5000  0.5000  0.0000  8 Se 2.91
Se  0.0000  0.5000  0.5000  4 W 2.91, 4 Ca 2.91

Properties
Size of the total moment ... 1.0 μB/cell



Compound: CaW2Se
Source: the Alexandria database
Functional: GGA-PBE
Structure: relaxed

Cell lengths 3.1672, 5.5576, 4.5298 Å; angles 90.00, 90.48, 90.00 degrees
Last column: nearest neighbours and their distance in Å.
Space group P2/m (No. 10)
Unique sites:
Ca  0.0000  0.0000  0.0000  4 Se 2.75-2.77
W  0.2933  0.5000  0.7644  2 W 2.50-2.74
Se  0.5000  0.0000  0.5000  4 Ca 2.75-2.77

Properties
Size of the total moment ... 0.0 μB/cell



| no. | total energy (eV/atom) | V (Å³ per cell) |
| --- | --- | --- |
| 1 | -4.780 | 347.5 |
| 2 | -5.676 | 76.0 |
| 3 | -7.321 | 79.7 |